A relaxed structure of HoTm3Te3, computed with PBE.

Cell: 7.0461 7.0461 11.0442 Å, 71.40 71.40 60.00°
Each line ends with the local moment (μB).
Fractional positions:
Tm: 0.5325 0.2198 0.3679  0.18
Tm: 0.1203 0.4675 0.6321  0.18
Tm: 0.7802 0.1203 0.6321  0.18
Tm: 0.8797 0.5325 0.3679  0.18
Tm: 0.4675 0.7802 0.6321  0.18
Tm: 0.2198 0.8797 0.3679  0.18
Ho: 0.3331 0.3331 0.0008  0.00
Ho: 0.6669 0.6669 0.9992  0.00
Te: 0.7401 0.3775 0.8218  0.01
Te: 0.9393 0.2599 0.1782  0.01
Te: 0.2599 0.6225 0.1782  0.01
Te: 0.3775 0.0607 0.8218  0.01
Te: 0.0607 0.7401 0.8218  0.01
Te: 0.6225 0.9393 0.1782  0.01

Summary:
- Electronic total energy: -0.1769 Ha/atom
- Space-group type: R-3 (148)

---

A relaxed structure of Ho3TmTe3, computed with PBE.

Cell: 9.0022 9.0022 7.7576 Å, 54.53 54.53 60.00°
Fractional positions:
Te: 0.6700 0.1129 0.7689
Te: 0.1129 0.4483 0.7689
Te: 0.4483 0.6700 0.7689
Te: 0.5517 0.3300 0.2311
Te: 0.8871 0.5517 0.2311
Te: 0.3300 0.8871 0.2311
Tm: 0.7083 0.7083 0.8752
Tm: 0.2917 0.2917 0.1248
Ho: 0.6711 0.9212 0.2747
Ho: 0.9212 0.1330 0.2747
Ho: 0.8670 0.3289 0.7253
Ho: 0.3289 0.0788 0.7253
Ho: 0.1330 0.6711 0.2747
Ho: 0.0788 0.8670 0.7253

Summary:
- Electronic total energy: -0.1803 Ha/atom
- Space-group type: R-3 (148)

---

A relaxed structure of Ho3Tm4Te4, computed with PBE.

Cell: 3.8600 9.1224 9.9955 Å, 117.15 101.13 90.00°
Fractional positions:
Ho: 0.8974 0.8974 0.7948
Ho: 0.0000 0.5000 0.0000
Ho: 0.1026 0.1026 0.2052
Tm: 0.3345 0.5199 0.6689
Tm: 0.6655 0.8510 0.3311
Tm: 0.6655 0.4801 0.3311
Tm: 0.3345 0.1490 0.6689
Te: 0.5000 0.1995 0.0000
Te: 0.2612 0.7612 0.5225
Te: 0.5000 0.8005 0.0000
Te: 0.7388 0.2388 0.4775

Summary:
- Electronic total energy: -0.1787 Ha/atom
- Space-group type: Immm (71)

---

A relaxed structure of HoTmTe2, computed with PBE.

Cell: 4.4152 6.7929 9.6771 Å, 89.76 89.95 89.93°
Fractional positions:
Te: 0.7006 0.5280 0.6974
Te: 0.2009 0.0287 0.5186
Te: 0.2006 0.1691 0.9329
Te: 0.7027 0.6714 0.2810
Tm: 0.6999 0.4462 0.0234
Tm: 0.2023 0.9508 0.1945
Ho: 0.7007 0.2875 0.4281
Ho: 0.2001 0.7851 0.7880

Summary:
- Polymorph energy (0 for the lowest one): 363.3 meV/atom
- Electronic total energy: -0.1732 Ha/atom
- Space-group type: P1 (1)

---

A relaxed structure of HoTmTe2, computed with PBE.

Cell: 5.3133 5.3133 5.3133 Å, 60.00 60.00 60.00°
Each line ends with the local moment (μB).
Fractional positions:
Te: 0.7500 0.7500 0.7500  -0.01
Te: 0.2500 0.2500 0.2500  -0.01
Tm: 0.5000 0.5000 0.5000  0.42
Ho: 0.0000 0.0000 0.0000  0.43

Summary:
- Polymorph energy (0 for the lowest one): 150.0 meV/atom
- Electronic total energy: -0.1810 Ha/atom
- Space-group type: Fm-3m (225)

---

A relaxed structure of Ho3TmTe6, computed with PBE.

Cell: 8.9641 8.9641 8.9641 Å, 90.48 90.48 90.48°
Fractional positions:
Te: 0.9092 0.6856 0.0863
Te: 0.0908 0.3144 0.9137
Te: 0.4107 0.1801 0.5391
Te: 0.5893 0.8199 0.4609
Te: 0.6856 0.0863 0.9092
Te: 0.3144 0.9137 0.0908
Te: 0.8199 0.4609 0.5893
Te: 0.5391 0.4107 0.1801
Te: 0.9137 0.0908 0.3144
Te: 0.0863 0.9092 0.6856
Te: 0.1801 0.5391 0.4107
Te: 0.4609 0.5893 0.8199
Tm: 0.5000 0.5000 0.5000
Tm: 0.0000 0.0000 0.0000
Ho: 0.9180 0.7573 0.4253
Ho: 0.2427 0.5747 0.0820
Ho: 0.5747 0.0820 0.2427
Ho: 0.4253 0.9180 0.7573
Ho: 0.7573 0.4253 0.9180
Ho: 0.0820 0.2427 0.5747

Summary:
- Polymorph energy (0 for the lowest one): 7.9 meV/atom
- Electronic total energy: -0.1845 Ha/atom
- Space-group type: R-3 (148)